Entry from the Alexandria database: a relaxed MgZn2Cu crystal (GGA-PBE).

Summary:
E_form (kJ/mol of atoms): -7
Symmetry: P4/mmm
Electronic total energy (eV/atom): -2.129

Unit cell a=3.0510 b=3.0510 c=6.5899 alpha=90.00 beta=90.00 gamma=90.00
Element x y z (fractional)
Mg  0.0000  0.0000  0.0000
Zn  0.5000  0.5000  0.2864
Zn  0.5000  0.5000  0.7136
Cu  0.0000  0.0000  0.5000